No. 1
K2PaSn2O6 after structural relaxation. Source: Alexandria, functional GGA-PBE. Values from VASP.

```
&SYSTEM
  ibrav = 0, nat = 11, ntyp = 4
/
ATOMIC_SPECIES
O 16.00 O.upf
Sn 118.71 Sn.upf
K 39.10 K.upf
Pa 231.04 Pa.upf
ATOMIC_POSITIONS crystal
O 0.7017 0.9096 0.2641
Sn 0.9283 0.8567 0.7683
O 0.7241 0.4481 0.5338
K 0.2964 0.5928 0.8570
O 0.7921 0.0904 0.7359
O 0.2079 0.9096 0.2641
O 0.2759 0.5519 0.4662
Pa 0.5000 0.0000 0.5000
Sn 0.0717 0.1433 0.2317
K 0.7036 0.4072 0.1430
O 0.2983 0.0904 0.7359
CELL_PARAMETERS angstrom
6.3050 0.0000 0.0000
-3.1525 5.0384 -0.1073
0.0000 -2.9310 6.6744
```

Uncorrected formation energy = -2.09 eV per atom
Total energy = -72.42 eV/cell
V = 210 Å³/cell


No. 2
K3PaSn2O8 after structural relaxation. Source: Alexandria, functional GGA-PBE. Values from VASP.

```
&SYSTEM
  ibrav = 0, nat = 14, ntyp = 4
/
ATOMIC_SPECIES
K 39.10 K.upf
O 16.00 O.upf
Pa 231.04 Pa.upf
Sn 118.71 Sn.upf
ATOMIC_POSITIONS crystal
K 0.3333 0.6667 0.6579
O 0.1662 0.8338 0.3372
O 0.8338 0.1662 0.6628
K 0.0000 0.0000 0.0000
O 0.8338 0.6675 0.6628
K 0.6667 0.3333 0.3421
Pa 0.0000 0.0000 0.5000
O 0.3325 0.1662 0.6628
O 0.6675 0.8338 0.3372
O 0.3333 0.6667 0.9715
Sn 0.3333 0.6667 0.2140
O 0.6667 0.3333 0.0285
Sn 0.6667 0.3333 0.7860
O 0.1662 0.3325 0.3372
CELL_PARAMETERS angstrom
6.1276 0.0000 0.0000
-3.0638 5.3067 0.0000
0.0000 0.0000 7.8269
```

Uncorrected formation energy = -2.07 eV per atom
Total energy = -89.40 eV/cell
V = 255 Å³/cell


No. 3
K2PaSn3O12 after structural relaxation. Source: Alexandria, functional GGA-PBE. Values from VASP.

```
&SYSTEM
  ibrav = 0, nat = 18, ntyp = 4
/
ATOMIC_SPECIES
O 16.00 O.upf
Sn 118.71 Sn.upf
Pa 231.04 Pa.upf
K 39.10 K.upf
ATOMIC_POSITIONS crystal
O 0.0723 0.6705 0.0723
Sn 0.0000 0.5000 0.0000
Pa 0.0000 0.0000 0.0000
K 0.6064 0.6064 0.6064
O 0.0723 0.0723 0.6705
O 0.6708 0.0843 0.6708
O 0.3292 0.9157 0.3292
O 0.0843 0.6708 0.6708
Sn 0.5000 0.0000 0.0000
K 0.3936 0.3936 0.3936
O 0.3292 0.3292 0.9157
Sn 0.0000 0.0000 0.5000
O 0.9157 0.3292 0.3292
O 0.3295 0.9277 0.9277
O 0.6708 0.6708 0.0843
O 0.6705 0.0723 0.0723
O 0.9277 0.9277 0.3295
O 0.9277 0.3295 0.9277
CELL_PARAMETERS angstrom
-1.7392 4.8695 5.8600
1.6311 -1.6630 7.4599
5.4861 3.8215 4.0465
```

Uncorrected formation energy = -1.50 eV per atom
Total energy = -110.20 eV/cell
V = 318 Å³/cell


No. 4
K3PaSn2O6 after structural relaxation. Source: Alexandria, functional GGA-PBE. Values from VASP.

```
&SYSTEM
  ibrav = 0, nat = 12, ntyp = 4
/
ATOMIC_SPECIES
K 39.10 K.upf
Pa 231.04 Pa.upf
Sn 118.71 Sn.upf
O 16.00 O.upf
ATOMIC_POSITIONS crystal
K 0.3333 0.6667 0.6477
Pa 0.0000 0.0000 0.5000
Sn 0.3333 0.6667 0.1732
O 0.6665 0.8332 0.3239
O 0.1668 0.3335 0.3239
K 0.6667 0.3333 0.3523
O 0.3335 0.1668 0.6761
O 0.8332 0.1668 0.6761
Sn 0.6667 0.3333 0.8268
O 0.1668 0.8332 0.3239
K 0.0000 0.0000 0.0000
O 0.8332 0.6665 0.6761
CELL_PARAMETERS angstrom
6.1452 0.0000 0.0000
-3.0726 5.3219 0.0000
0.0000 0.0000 7.2762
```

Uncorrected formation energy = -2.18 eV per atom
Total energy = -76.65 eV/cell
V = 238 Å³/cell


No. 5
KPaSn2O8 after structural relaxation. Source: Alexandria, functional GGA-PBE. Values from VASP.

```
&SYSTEM
  ibrav = 0, nat = 12, ntyp = 4
/
ATOMIC_SPECIES
O 16.00 O.upf
Sn 118.71 Sn.upf
Pa 231.04 Pa.upf
K 39.10 K.upf
ATOMIC_POSITIONS crystal
O 0.3805 0.0386 0.3419
Sn 0.5000 0.5000 0.0000
O 0.8825 0.6737 0.2087
Pa 0.2500 0.7500 0.5000
O 0.9614 0.3033 0.3419
O 0.9614 0.6195 0.6581
Sn 0.7500 0.2500 0.5000
O 0.6967 0.0386 0.6581
O 0.4650 0.6737 0.7913
O 0.3263 0.1175 0.7913
K 0.0000 0.0000 0.0000
O 0.3263 0.5350 0.2087
CELL_PARAMETERS angstrom
6.3529 0.4466 0.0000
-2.4173 5.8919 0.0000
-1.9678 -3.1693 5.1616
```

Uncorrected formation energy = -1.65 eV per atom
Total energy = -78.12 eV/cell
V = 199 Å³/cell


No. 6
K4Sr3PaO8 after structural relaxation. Source: Alexandria, functional GGA-PBE. Values from VASP.

```
&SYSTEM
  ibrav = 0, nat = 16, ntyp = 4
/
ATOMIC_SPECIES
Sr 87.62 Sr.upf
O 16.00 O.upf
K 39.10 K.upf
Pa 231.04 Pa.upf
ATOMIC_POSITIONS crystal
Sr 0.0000 0.5000 0.5000
Sr 0.5000 0.5000 0.5000
O 0.2106 0.6912 0.9806
O 0.7894 0.3088 0.5789
K 0.5000 0.0000 0.0000
O 0.7355 0.7066 0.4710
K 0.5000 0.0000 0.5000
O 0.2299 0.3088 0.0194
Pa 0.0000 0.5000 0.0000
K 0.0000 0.0000 0.0000
Sr 0.5000 0.5000 0.0000
O 0.7701 0.6912 0.9806
O 0.2645 0.2934 0.5290
K 0.0000 0.0000 0.5000
O 0.2106 0.6912 0.4211
O 0.7894 0.3088 0.0194
CELL_PARAMETERS angstrom
7.3785 0.0000 0.0000
0.0000 7.5927 0.1434
-3.6893 -3.6838 5.2214
```

Uncorrected formation energy = -2.38 eV per atom
Total energy = -96.60 eV/cell
V = 296 Å³/cell


No. 7
KSr2Pa2O7 after structural relaxation. Source: Alexandria, functional GGA-PBE. Values from VASP.

```
&SYSTEM
  ibrav = 0, nat = 12, ntyp = 4
/
ATOMIC_SPECIES
O 16.00 O.upf
Sr 87.62 Sr.upf
K 39.10 K.upf
Pa 231.04 Pa.upf
ATOMIC_POSITIONS crystal
O 0.3822 0.8821 0.7643
Sr 0.2501 0.7500 0.5002
O 0.5000 0.4989 0.0000
O 0.8822 0.3820 0.7643
O 0.6178 0.1178 0.2357
O 0.2835 0.2835 0.5671
Sr 0.7499 0.2498 0.4998
K 0.0000 0.0016 0.0000
Pa 0.6072 0.6072 0.2144
Pa 0.3928 0.3928 0.7856
O 0.7165 0.7164 0.4329
O 0.1178 0.6176 0.2357
CELL_PARAMETERS angstrom
-2.4589 2.6206 2.8938
0.2190 -3.3234 3.1961
9.6857 4.3944 0.5707
```

Uncorrected formation energy = -3.01 eV per atom
Total energy = -94.28 eV/cell
V = 216 Å³/cell


No. 8
K4SrPa3O12 after structural relaxation. Source: Alexandria, functional GGA-PBE. Values from VASP.

```
&SYSTEM
  ibrav = 0, nat = 20, ntyp = 4
/
ATOMIC_SPECIES
O 16.00 O.upf
K 39.10 K.upf
Pa 231.04 Pa.upf
Sr 87.62 Sr.upf
ATOMIC_POSITIONS crystal
O 0.0000 0.2739 0.2739
O 0.7500 0.2500 0.5000
K 0.0000 0.0000 0.5000
O 0.7500 0.5000 0.2500
Pa 0.5000 0.5000 0.0000
K 0.0000 0.5000 0.0000
Pa 0.0000 0.5000 0.5000
Pa 0.5000 0.0000 0.5000
Sr 0.0000 0.0000 0.0000
K 0.5000 0.0000 0.0000
O 0.2739 0.2739 0.0000
O 0.0000 0.7261 0.7261
O 0.2739 0.0000 0.2739
O 0.2500 0.5000 0.7500
K 0.5000 0.5000 0.5000
O 0.7261 0.0000 0.7261
O 0.7261 0.7261 0.0000
O 0.2500 0.7500 0.5000
O 0.5000 0.7500 0.2500
O 0.5000 0.2500 0.7500
CELL_PARAMETERS angstrom
7.7248 0.0000 0.0000
-2.5749 7.2830 0.0000
-2.5749 -3.6415 6.3073
```

Uncorrected formation energy = -2.66 eV per atom
Total energy = -147.31 eV/cell
V = 355 Å³/cell


No. 9
K2Sr2PaO6 after structural relaxation. Source: Alexandria, functional GGA-PBE. Values from VASP.

```
&SYSTEM
  ibrav = 0, nat = 11, ntyp = 4
/
ATOMIC_SPECIES
O 16.00 O.upf
K 39.10 K.upf
Pa 231.04 Pa.upf
Sr 87.62 Sr.upf
ATOMIC_POSITIONS crystal
O 0.6515 0.9603 0.2556
K 0.6443 0.3557 0.5000
O 0.8412 0.8412 0.7159
Pa 0.0000 0.0000 0.5000
Sr 0.8114 0.1886 0.0000
O 0.0397 0.3485 0.7444
Sr 0.1886 0.8114 0.0000
O 0.3485 0.0397 0.7444
K 0.3557 0.6443 0.5000
O 0.9603 0.6515 0.2556
O 0.1588 0.1588 0.2841
CELL_PARAMETERS angstrom
6.2737 0.4858 -0.0505
-2.6785 5.6939 -0.0505
-1.3885 -2.3867 5.6730
```

Uncorrected formation energy = -2.53 eV per atom
Total energy = -72.68 eV/cell
V = 209 Å³/cell


No. 10
K2SrPa2O7 after structural relaxation. Source: Alexandria, functional GGA-PBE. Values from VASP.

```
&SYSTEM
  ibrav = 0, nat = 12, ntyp = 4
/
ATOMIC_SPECIES
Sr 87.62 Sr.upf
Pa 231.04 Pa.upf
K 39.10 K.upf
O 16.00 O.upf
ATOMIC_POSITIONS crystal
Sr 0.0000 0.0000 0.0000
Pa 0.5966 0.5966 0.8063
K 0.1962 0.1962 0.6078
O 0.6865 0.6865 0.6261
Pa 0.4034 0.4034 0.1937
O 0.3135 0.3135 0.3739
O 0.9166 0.4167 0.1673
O 0.5000 0.5000 0.0000
O 0.0834 0.5833 0.8327
O 0.5833 0.0834 0.8327
K 0.8038 0.8038 0.3922
O 0.4167 0.9166 0.1673
CELL_PARAMETERS angstrom
4.3973 -0.0026 0.0112
0.0027 4.3973 0.0111
2.1679 2.1653 11.3267
```

Uncorrected formation energy = -3.05 eV per atom
Total energy = -94.18 eV/cell
V = 219 Å³/cell


No. 11
K4PaTa3O12 after structural relaxation. Source: Alexandria, functional GGA-PBE. Values from VASP.

```
&SYSTEM
  ibrav = 0, nat = 20, ntyp = 4
/
ATOMIC_SPECIES
O 16.00 O.upf
K 39.10 K.upf
Ta 180.95 Ta.upf
Pa 231.04 Pa.upf
ATOMIC_POSITIONS crystal
O 0.2500 0.7500 0.5000
O 0.2500 0.5000 0.7500
O 0.2612 0.2612 0.0000
O 0.2612 0.0000 0.2612
O 0.5000 0.7500 0.2500
K 0.0000 0.5000 0.0000
O 0.7388 0.7388 0.0000
O 0.5000 0.2500 0.7500
O 0.0000 0.2612 0.2612
Ta 0.5000 0.5000 0.0000
Ta 0.5000 0.0000 0.5000
K 0.5000 0.5000 0.5000
O 0.7388 0.0000 0.7388
O 0.7500 0.5000 0.2500
K 0.0000 0.0000 0.5000
K 0.5000 0.0000 0.0000
Ta 0.0000 0.5000 0.5000
O 0.7500 0.2500 0.5000
O 0.0000 0.7388 0.7388
Pa 0.0000 0.0000 0.0000
CELL_PARAMETERS angstrom
7.1404 0.0000 0.0000
-2.3801 6.7321 0.0000
-2.3801 -3.3660 5.8301
```

Uncorrected formation energy = -2.75 eV per atom
Total energy = -164.03 eV/cell
V = 280 Å³/cell


No. 12
KPaTa2O8 after structural relaxation. Source: Alexandria, functional GGA-PBE. Values from VASP.

```
&SYSTEM
  ibrav = 0, nat = 12, ntyp = 4
/
ATOMIC_SPECIES
K 39.10 K.upf
O 16.00 O.upf
Ta 180.95 Ta.upf
Pa 231.04 Pa.upf
ATOMIC_POSITIONS crystal
K 0.0000 0.0000 0.5000
O 0.8369 0.1631 0.1767
O 0.3262 0.1631 0.1767
O 0.1631 0.8369 0.8233
Ta 0.6667 0.3333 0.2586
O 0.6667 0.3333 0.4957
O 0.8369 0.6738 0.1767
O 0.6738 0.8369 0.8233
Pa 0.0000 0.0000 0.0000
O 0.1631 0.3262 0.8233
O 0.3333 0.6667 0.5043
Ta 0.3333 0.6667 0.7414
CELL_PARAMETERS angstrom
6.1087 0.0000 0.0000
-3.0544 5.2903 0.0000
0.0000 0.0000 7.5058
```

Uncorrected formation energy = -2.90 eV per atom
Total energy = -108.71 eV/cell
V = 243 Å³/cell


> The lowest uncorrected formation energy belongs to which entry?

K2SrPa2O7